(1)
# Tb3Nd6Sm2In GGA-PBE relaxed
# D(E_F) = 1.1519 states/eV/atom
# E_form = -46.3 meV/atom
data_Tb3Nd6Sm2In
_chemical_formula_sum 'Tb6 Nd12 Sm4 In2'
_space_group_name_H-M_alt 'C 1 2/m 1'
_space_group_IT_number 12
_cell_length_a 6.224
_cell_length_b 10.810
_cell_length_c 11.910
_cell_angle_alpha 90.00
_cell_angle_beta 100.15
_cell_angle_gamma 90.00
loop_
_space_group_symop_operation_xyz
'x,y,z'
'-x,-y,-z'
'-x,y,-z'
'x,-y,z'
'x+1/2,y+1/2,z'
'-x+1/2,-y+1/2,-z'
'-x+1/2,y+1/2,-z'
'x+1/2,-y+1/2,z'
loop_
_atom_site_label
_atom_site_fract_x
_atom_site_fract_y
_atom_site_fract_z
_atom_site_occupancy
Tb1 0.000 0.000 0.000 1
Tb2 0.000 0.332 0.000 1
Nd1 0.243 0.500 0.250 1
Nd2 0.246 0.337 0.749 1
Sm1 0.000 0.166 0.500 1
In1 0.000 0.500 0.500 1

***

(2)
# CrTeBr2 GGA-PBE relaxed
# D(E_F) = 0.6791 states/eV/atom
# E_form (uncorrected) = 0.229 eV/atom
# polymorph energy (0 for the lowest one) = 543 meV/atom
data_CrTeBr2
_chemical_formula_sum 'Cr2 Te2 Br4'
_space_group_name_H-M_alt 'I -4 m 2'
_space_group_IT_number 119
_space_group_name_Hall 'I -4 -2'
_cell_length_a 4.087
_cell_length_b 4.087
_cell_length_c 14.192
_cell_angle_alpha 90.00
_cell_angle_beta 90.00
_cell_angle_gamma 90.00
loop_
_atom_site_label
_atom_site_fract_x
_atom_site_fract_y
_atom_site_fract_z
_atom_site_occupancy
Cr1 0.000 0.000 0.000 1
Te1 0.000 0.500 0.750 1
Br1 0.000 0.000 0.500 1
Br2 0.000 0.500 0.250 1

***

(3)
# Na2InSi3Pt4 GGA-PBE relaxed
# D(E_F) = 0.4872 states/eV/atom
# E_form (uncorrected) = -0.555 eV/atom
data_Na2InSi3Pt4
_chemical_formula_sum 'Na2 In1 Si3 Pt4'
_space_group_name_H-M_alt 'P -4 m 2'
_space_group_IT_number 115
_cell_length_a 4.319
_cell_length_b 4.319
_cell_length_c 9.991
_cell_angle_alpha 90.00
_cell_angle_beta 90.00
_cell_angle_gamma 90.00
loop_
_space_group_symop_operation_xyz
'x,y,z'
'y,-x,-z'
'-x,-y,z'
'-y,x,-z'
'-x,y,z'
'-y,-x,-z'
'x,-y,z'
'y,x,-z'
loop_
_atom_site_label
_atom_site_fract_x
_atom_site_fract_y
_atom_site_fract_z
_atom_site_occupancy
Na1 0.000 0.500 0.242 1
In1 0.000 0.000 0.500 1
Si1 0.000 0.500 0.883 1
Si2 0.500 0.500 0.500 1
Pt1 0.000 0.000 0.000 1
Pt2 0.000 0.500 0.648 1
Pt3 0.500 0.500 0.000 1

***

(4)
# Li2Ta2TiSe6 GGA-PBE relaxed
# D(E_F) = 0.4283 states/eV/atom
# E_form (uncorrected) = -0.978 eV/atom
data_Li2Ta2TiSe6
_chemical_formula_sum 'Li4 Ta4 Ti2 Se12'
_space_group_name_H-M_alt 'C 1 2/m 1'
_space_group_IT_number 12
_cell_length_a 6.234
_cell_length_b 10.829
_cell_length_c 6.957
_cell_angle_alpha 90.00
_cell_angle_beta 104.65
_cell_angle_gamma 90.00
loop_
_space_group_symop_operation_xyz
'x,y,z'
'-x,-y,-z'
'-x,y,-z'
'x,-y,z'
'x+1/2,y+1/2,z'
'-x+1/2,-y+1/2,-z'
'-x+1/2,y+1/2,-z'
'x+1/2,-y+1/2,z'
loop_
_atom_site_label
_atom_site_fract_x
_atom_site_fract_y
_atom_site_fract_z
_atom_site_occupancy
Li1 0.000 0.182 0.000 1
Ta1 0.000 0.366 0.500 1
Ti1 0.000 0.000 0.500 1
Se1 0.229 0.172 0.723 1
Se2 0.242 0.000 0.237 1

***

(5)
# Ba2ZnBiPd6 GGA-PBE relaxed
# D(E_F) = 0.3545 states/eV/atom
# E_form = -474.0 meV/atom
data_Ba2ZnBiPd6
_chemical_formula_sum 'Ba4 Zn2 Bi2 Pd12'
_space_group_name_H-M_alt 'C 1 2/m 1'
_space_group_IT_number 12
_cell_length_a 12.698
_cell_length_b 5.776
_cell_length_c 8.849
_cell_angle_alpha 90.00
_cell_angle_beta 132.06
_cell_angle_gamma 90.00
loop_
_space_group_symop_operation_xyz
'x,y,z'
'-x,-y,-z'
'-x,y,-z'
'x,-y,z'
'x+1/2,y+1/2,z'
'-x+1/2,-y+1/2,-z'
'-x+1/2,y+1/2,-z'
'x+1/2,-y+1/2,z'
loop_
_atom_site_label
_atom_site_fract_x
_atom_site_fract_y
_atom_site_fract_z
_atom_site_occupancy
Ba1 0.239 0.000 0.279 1
Zn1 0.000 0.500 0.000 1
Bi1 0.000 0.000 0.500 1
Pd1 0.020 0.261 0.772 1
Pd2 0.245 0.500 0.097 1

***

(6)
# Li3AlW GGA-PBE relaxed
# D(E_F) = 0.5794 states/eV/atom
# polymorph energy (0 for the lowest one) = 0 meV/atom
# E_form = 1340.0 meV/atom
data_Li3AlW
_chemical_formula_sum 'Li3 Al1 W1'
_space_group_name_H-M_alt 'P m -3 m'
_space_group_IT_number 221
_space_group_name_Hall '-P 4 2 3'
_cell_length_a 4.276
_cell_length_b 4.276
_cell_length_c 4.276
_cell_angle_alpha 90.00
_cell_angle_beta 90.00
_cell_angle_gamma 90.00
loop_
_atom_site_label
_atom_site_fract_x
_atom_site_fract_y
_atom_site_fract_z
_atom_site_occupancy
Li1 0.000 0.000 0.500 1
Al1 0.000 0.000 0.000 1
W1 0.500 0.500 0.500 1

***

(7)
# FeSe GGA-PBE relaxed
# D(E_F) = 1.5352 states/eV/atom
# E_form (uncorrected) = 0.161 eV/atom
data_FeSe
_chemical_formula_sum 'Fe2 Se2'
_space_group_name_H-M_alt 'P 63/m m c'
_space_group_IT_number 194
_space_group_name_Hall '-P 6c 2c'
_cell_length_a 3.3247
_cell_length_b 3.3247
_cell_length_c 6.8238
_cell_angle_alpha 90.00
_cell_angle_beta 90.00
_cell_angle_gamma 120.00
loop_
_atom_site_label
_atom_site_fract_x
_atom_site_fract_y
_atom_site_fract_z
_atom_site_occupancy
Fe1 0.3333 0.6667 0.2500 1
Se1 0.0000 0.0000 0.0000 1

***

(8)
# UCuBi2S5 GGA-PBE relaxed
# D(E_F) = 0.6963 states/eV/atom
# E_form (uncorrected) = -0.601 eV/atom
data_UCuBi2S5
_chemical_formula_sum 'U4 Cu4 Bi8 S20'
_space_group_name_H-M_alt 'C m c 21'
_space_group_IT_number 36
_cell_length_a 3.947
_cell_length_b 16.824
_cell_length_c 13.096
_cell_angle_alpha 90.00
_cell_angle_beta 90.00
_cell_angle_gamma 90.00
loop_
_space_group_symop_operation_xyz
'x,y,z'
'-x,-y,z+1/2'
'-x,y,z'
'x,-y,z+1/2'
'x+1/2,y+1/2,z'
'-x+1/2,-y+1/2,z+1/2'
'-x+1/2,y+1/2,z'
'x+1/2,-y+1/2,z+1/2'
loop_
_atom_site_label
_atom_site_fract_x
_atom_site_fract_y
_atom_site_fract_z
_atom_site_occupancy
U1 0.000 0.189 0.000 1
Cu1 0.000 0.437 0.387 1
Bi1 0.000 0.099 0.592 1
Bi2 0.000 0.111 0.234 1
S1 0.000 0.034 0.973 1
S2 0.000 0.280 0.637 1
S3 0.000 0.302 0.366 1
S4 0.000 0.353 0.968 1
S5 0.000 0.497 0.227 1

***

(9)
# Na3VCl GGA-PBE relaxed
# D(E_F) = 1.3537 states/eV/atom
# E_form (uncorrected) = 0.085 eV/atom
# polymorph energy (0 for the lowest one) = 0 meV/atom
data_Na3VCl
_chemical_formula_sum 'Na3 V1 Cl1'
_space_group_name_H-M_alt 'P m -3 m'
_space_group_IT_number 221
_space_group_name_Hall '-P 4 2 3'
_cell_length_a 5.338
_cell_length_b 5.338
_cell_length_c 5.338
_cell_angle_alpha 90.00
_cell_angle_beta 90.00
_cell_angle_gamma 90.00
loop_
_atom_site_label
_atom_site_fract_x
_atom_site_fract_y
_atom_site_fract_z
_atom_site_occupancy
Na1 0.000 0.000 0.500 1
V1 0.500 0.500 0.500 1
Cl1 0.000 0.000 0.000 1

***

(10)
# TcAg2Cl GGA-PBE relaxed
# D(E_F) = 0.6399 states/eV/atom
# E_form (uncorrected) = 0.388 eV/atom
# polymorph energy (0 for the lowest one) = 151 meV/atom
data_TcAg2Cl
_chemical_formula_sum 'Tc2 Ag4 Cl2'
_space_group_name_H-M_alt 'C 1 m 1'
_space_group_IT_number 8
_cell_length_a 13.675
_cell_length_b 2.862
_cell_length_c 4.594
_cell_angle_alpha 90.00
_cell_angle_beta 98.00
_cell_angle_gamma 90.00
loop_
_space_group_symop_operation_xyz
'x,y,z'
'x,-y,z'
'x+1/2,y+1/2,z'
'x+1/2,-y+1/2,z'
loop_
_atom_site_label
_atom_site_fract_x
_atom_site_fract_y
_atom_site_fract_z
_atom_site_occupancy
Tc1 0.000 0.000 0.000 1
Ag1 0.058 0.500 0.523 1
Ag2 0.182 0.500 0.073 1
Cl1 0.360 0.000 0.929 1

***

(11)
# SmAg2Hg GGA-PBE relaxed
# D(E_F) = 0.6579 states/eV/atom
# polymorph energy (0 for the lowest one) = 18 meV/atom
# E_form = -224.5 meV/atom
data_SmAg2Hg
_chemical_formula_sum 'Sm4 Ag8 Hg4'
_space_group_name_H-M_alt 'C m c m'
_space_group_IT_number 63
_space_group_name_Hall '-C 2c 2'
_cell_length_a 3.422
_cell_length_b 22.047
_cell_length_c 4.839
_cell_angle_alpha 90.00
_cell_angle_beta 90.00
_cell_angle_gamma 90.00
loop_
_atom_site_label
_atom_site_fract_x
_atom_site_fract_y
_atom_site_fract_z
_atom_site_occupancy
Sm1 0.000 0.094 0.250 1
Ag1 0.000 0.270 0.750 1
Ag2 0.000 0.469 0.250 1
Hg1 0.000 0.340 0.250 1

***

(12)
# PrNd6Ho GGA-PBE relaxed
# D(E_F) = 1.6800 states/eV/atom
# E_form = 15.9 meV/atom
data_PrNd6Ho
_chemical_formula_sum 'Pr1 Nd6 Ho1'
_space_group_name_H-M_alt 'P 4/m m m'
_space_group_IT_number 123
_space_group_name_Hall '-P 4 2'
_cell_length_a 5.182
_cell_length_b 5.182
_cell_length_c 10.362
_cell_angle_alpha 90.00
_cell_angle_beta 90.00
_cell_angle_gamma 90.00
loop_
_atom_site_label
_atom_site_fract_x
_atom_site_fract_y
_atom_site_fract_z
_atom_site_occupancy
Pr1 0.000 0.000 0.000 1
Nd1 0.000 0.500 0.253 1
Nd2 0.500 0.500 0.000 1
Nd3 0.500 0.500 0.500 1
Ho1 0.000 0.000 0.500 1